A relaxed Pr6Dy5In crystal, computed with PBE.

The space group is Immm (No. 71) and the conventional cell measures 5.082, 10.057 and 15.426 Å, with angles of 90.00, 90.00 and 90.00 degrees. The inequivalent atoms are Pr at (0.000, 0.245, 0.000), Pr at (0.000, 0.255, 0.335), Dy at (0.000, 0.000, 0.167), Dy at (0.000, 0.000, 0.500), Dy at (0.000, 0.500, 0.164) and In at (0.000, 0.500, 0.500).

The calculated formation energy is -57 meV/atom. As for the density of states at the Fermi level: 1.32 states/eV per atom. The volume is 32.85 A^3/atom.


A relaxed Pr2DyIn crystal, computed with PBE.

The space group is P4/mmm (No. 123) and the conventional cell measures 3.662, 3.662 and 9.570 Å, with angles of 90.00, 90.00 and 90.00 degrees. The inequivalent atoms are Pr at (0.000, 0.000, 0.228), Dy at (0.500, 0.500, 0.500) and In at (0.500, 0.500, 0.000).

The calculated formation energy is -198 meV/atom. As for the density of states at the Fermi level: 1.24 states/eV per atom. The volume is 32.09 A^3/atom.


A relaxed Pr2Dy4In crystal, computed with PBE.

The space group is P2_1/m (No. 11) and the conventional cell measures 5.716, 6.705 and 11.746 Å, with angles of 90.00, 103.25 and 90.00 degrees. The inequivalent atoms are Pr at (0.007, 0.250, 0.473), Pr at (0.338, 0.750, 0.084), Dy at (0.149, 0.005, 0.784), Dy at (0.218, 0.250, 0.059), Dy at (0.422, 0.750, 0.378) and In at (0.436, 0.250, 0.328).

The calculated formation energy is -39 meV/atom. As for the density of states at the Fermi level: 1.14 states/eV per atom. The volume is 31.30 A^3/atom.